Record 1
Compound: NiRhO2
Source: Alexandria via LeMat-Bulk
Functional: GGA+U
Structure: relaxed

a = 2.743 Å, b = 3.135 Å, c = 5.198 Å
α = 90.00°, β = 90.00°, γ = 90.00°
Space group Pmmm (No. 47)
Unique sites:
Ni (0.000, 0.000, 0.000) (multiplicity 1)
Rh (0.500, 0.500, 0.500) (multiplicity 1)
O (0.500, 0.000, 0.247) (multiplicity 2)

Output
E_tot in eV per cell: -22.3

Record 2
Compound: Mn3AgC4O12
Source: Alexandria via LeMat-Bulk
Functional: GGA+U
Structure: relaxed

a = 9.8359 Å, b = 9.8359 Å, c = 8.1426 Å
α = 90.00°, β = 90.00°, γ = 120.00°
Space group R32 (No. 155, hexagonal axes)
Unique sites:
Mn (0.0000, 0.5345, 0.0000) (multiplicity 9)
Ag (0.0000, 0.0000, 0.0000) (multiplicity 3)
C (0.0000, 0.0000, 0.5000) (multiplicity 3)
C (0.0000, 0.4641, 0.5000) (multiplicity 9)
O (0.0000, 0.5969, 0.5000) (multiplicity 9)
O (0.0000, 0.8682, 0.5000) (multiplicity 9)
O (0.0021, 0.2024, 0.8109) (multiplicity 18)

Output
E_tot in eV per cell: -448.7